The following is a DFT calculation (PBEsol) of crystalline AgPt2Au at its relaxed geometry.

**Calculated formation energy**: -0.7 kJ/mol of atoms
**Energy above the most stable polymorph in this dataset**: 0.0000 eV per atom
**Calculated volume**: 15.7 Å³ per atom
**D(E_F)**: 0.33 states/eV/atom
**Calculated density**: 18.4 g/cm³

a b c (Å): 2.7754 2.7754 28.2478
angles (deg): 90.00 90.00 120.00
Last column: nearest neighbours and their distance in Å.
Space group R-3m (No. 166, hexagonal axes)
One atom of each set of equivalent atoms:
Ag (0.0000, 0.0000, 0.0000)  6 Ag 2.78, 6 Pt 2.83
Pt (0.0000, 0.0000, 0.2507)  6 Pt 2.78, 3 Ag 2.83, 3 Au 2.86
Au (0.0000, 0.0000, 0.5000)  6 Au 2.78, 6 Pt 2.86